{"formula": "AlTc2Hg", "functional": "PBE-GGA", "state": "optimized geometry", "relative_energy_mev_per_atom": 242, "dos_at_fermi_per_ev_cell": 4.203, "rho_g_cm3": 10.91, "sg": "R-3m, No. 166", "e_form_mev_per_atom": 260, "final_energy_ev_per_atom": -5.934, "lattice_angstrom": [[-0.544, -7.280, 5.661], [-0.658, -8.657, 3.155], [1.874, -7.962, 4.292]], "species": ["Hg", "Al", "Tc", "Tc"], "frac_coords": [[0.750, 0.750, 0.750], [0.250, 0.250, 0.250], [0.994, 0.994, 0.994], [0.506, 0.506, 0.506]]}